DFT (PBE-GGA) results for crystalline V2GeRu2 at its relaxed geometry.

Its total magnetic moment is 0.00 μB per cell. For the excess energy over the best structure of this formula in the dataset, the calculation gives 0.304 eV per atom. The formation enthalpy at 0 K is -0.30 eV per formula unit. Its total energy is -8.341 eV/atom.

The space group is P4/mbm (No. 127) and the conventional cell measures 7.144, 7.144 and 2.879 Å, with angles of 90.00, 90.00 and 90.00 degrees. The inequivalent atoms are V at (0.159, 0.341, 0.000), Ge at (0.000, 0.000, 0.500) and Ru at (0.137, 0.637, 0.500).